Ta3Re2 | PBE-GGA | optimized geometry

Cell: 5.462 9.199 13.646 Å, 90.00 90.00 90.00°
Space group Fddd (No. 70, origin choice 2)
Symmetry-distinct sites (fractional):
Ta: 0.125 0.125 0.018 (multiplicity 16)
Ta: 0.125 0.125 0.625 (multiplicity 8)
Re: 0.125 0.125 0.426 (multiplicity 16)

Computed properties:
ΔE to the lowest computed polymorph in eV per formula unit: 1.53
E_form in eV/atom: -0.06